The following is a DFT calculation (PBE) of crystalline La2ZrHg at its relaxed geometry.

total magnetic moment: 0.00 μB/f.u.
electronic total energy: -19.1 eV per cell
formation energy: -0.103 eV/atom
theoretical density: 8.26 g/cm3
crystal system: orthorhombic

a = 3.498 Å, b = 5.496 Å, c = 5.956 Å
α = 90.00°, β = 90.00°, γ = 90.00°
Fractional coordinates of all 4 atoms:
La (0.000, 0.000, 0.000)
La (0.000, 0.500, 0.406)
Zr (0.500, 0.500, 0.867)
Hg (0.500, 0.000, 0.532)